(1)
The following is a PBE-GGA calculation of a geometry-optimized Na3Sb structure, from the Alexandria database.

Unit cell a=4.840 b=4.840 c=4.840 alpha=90.00 beta=90.00 gamma=90.00
Fractional coordinates of all 4 atoms:
1 Na 0.000 0.000 0.500
2 Na 0.000 0.500 0.000
3 Na 0.500 0.000 0.000
4 Sb 0.500 0.500 0.500

Results
Raw total energy = -2.28 eV per atom
Spin magnetization = 0.00 μB/f.u.
Raw formation energy = -0.258 eV per atom

***

(2)
The following is a PBE-GGA calculation of a geometry-optimized TaReCl2 structure, from the Alexandria database.

Unit cell a=7.787 b=7.787 c=7.787 alpha=157.34 beta=146.58 gamma=40.76
Fractional coordinates of all 4 atoms:
1 Ta 0.000 0.000 0.000
2 Re 0.500 0.500 0.000
3 Cl 0.142 0.642 0.500
4 Cl 0.858 0.358 0.500

Results
Raw total energy = -6.74 eV per atom
ΔE to the lowest computed polymorph = 0.755 eV/atom
Spin magnetization = 1.86 μB/f.u.
Raw formation energy = 0.255 eV per atom

***

(3)
The following is a PBE-GGA calculation of a geometry-optimized LiFe2Co structure, from the Alexandria database.

Unit cell a=4.782 b=4.782 c=4.782 alpha=146.57 beta=129.23 gamma=62.16
Fractional coordinates of all 4 atoms:
1 Li 0.000 0.000 0.000
2 Fe 0.489 0.489 0.000
3 Fe 0.738 0.238 0.500
4 Co 0.252 0.752 0.500

Results
Raw total energy = -6.33 eV per atom
ΔE to the lowest computed polymorph = 0.044 eV/atom
Spin magnetization = 6.45 μB/f.u.
Energy of formation from the pure elements = 153.3 meV per atom

***

(4)
The following is a PBE-GGA calculation of a geometry-optimized Sr3BiH3 structure, from the Alexandria database.

Unit cell a=8.822 b=8.822 c=8.822 alpha=51.08 beta=51.08 gamma=51.08
Fractional coordinates of all 14 atoms:
1 Sr 0.047 0.759 0.409
2 Sr 0.241 0.591 0.953
3 Sr 0.409 0.047 0.759
4 Sr 0.591 0.953 0.241
5 Sr 0.759 0.409 0.047
6 Sr 0.953 0.241 0.591
7 Bi 0.166 0.166 0.166
8 Bi 0.834 0.834 0.834
9 H 0.072 0.361 0.680
10 H 0.320 0.928 0.639
11 H 0.361 0.680 0.072
12 H 0.639 0.320 0.928
13 H 0.680 0.072 0.361
14 H 0.928 0.639 0.320

Results
Raw total energy = -3.25 eV per atom
Spin magnetization = 0.00 μB/f.u.

***

(5)
The following is a PBE-GGA calculation of a geometry-optimized YTe3Br structure, from the Alexandria database.

Unit cell a=5.512 b=5.512 c=5.512 alpha=90.00 beta=90.00 gamma=90.00
Fractional coordinates of all 5 atoms:
1 Y 0.000 0.000 0.000
2 Te 0.000 0.500 0.500
3 Te 0.500 0.000 0.500
4 Te 0.500 0.500 0.000
5 Br 0.500 0.500 0.500

Results
Raw total energy = -3.33 eV per atom
ΔE to the lowest computed polymorph = 0.312 eV/atom
Spin magnetization = 0.00 μB/f.u.
Raw formation energy = 0.185 eV per atom

***

(6)
The following is a PBE-GGA calculation of a geometry-optimized Pr2Dy7Cd2 structure, from the Alexandria database.

Unit cell a=6.625 b=6.625 c=8.110 alpha=99.94 beta=99.94 gamma=92.46
Fractional coordinates of all 11 atoms:
1 Pr 0.181 0.819 0.000
2 Pr 0.819 0.181 0.000
3 Dy 0.000 0.000 0.500
4 Dy 0.120 0.523 0.331
5 Dy 0.306 0.306 0.963
6 Dy 0.477 0.880 0.669
7 Dy 0.523 0.120 0.331
8 Dy 0.694 0.694 0.037
9 Dy 0.880 0.477 0.669
10 Cd 0.396 0.396 0.643
11 Cd 0.604 0.604 0.357

Results
Raw total energy = -3.93 eV per atom
Spin magnetization = 0.00 μB/f.u.
Energy of formation from the pure elements = 36.3 meV per atom

***

(7)
The following is a PBE-GGA calculation of a geometry-optimized Nb2HIrOs structure, from the Alexandria database.

Unit cell a=4.863 b=4.863 c=4.709 alpha=90.00 beta=90.00 gamma=90.00
Fractional coordinates of all 5 atoms:
1 Nb 0.000 0.500 0.000
2 Nb 0.500 0.000 0.000
3 H 0.000 0.000 0.500
4 Ir 0.500 0.500 0.500
5 Os 0.500 0.500 0.000

Results
Raw total energy = -6.97 eV per atom
ΔE to the lowest computed polymorph = 1.991 eV/atom
Spin magnetization = 0.00 μB/f.u.

***

(8)
The following is a PBE-GGA calculation of a geometry-optimized TlReNi structure, from the Alexandria database.

Unit cell a=4.486 b=4.486 c=2.796 alpha=90.00 beta=90.00 gamma=120.00
Fractional coordinates of all 3 atoms:
1 Tl 0.000 0.000 0.000
2 Re 0.333 0.667 0.508
3 Ni 0.667 0.333 0.035

Results
Raw total energy = -5.95 eV per atom
ΔE to the lowest computed polymorph = 0.300 eV/atom
Spin magnetization = 1.34 μB/f.u.
Energy of formation from the pure elements = 915.7 meV per atom

***

(9)
The following is a PBE-GGA calculation of a geometry-optimized K2NaHgP structure, from the Alexandria database.

Unit cell a=6.152 b=6.152 c=5.554 alpha=90.00 beta=90.00 gamma=90.00
Fractional coordinates of all 5 atoms:
1 K 0.000 0.500 0.000
2 K 0.500 0.000 0.000
3 Na 0.000 0.000 0.500
4 Hg 0.000 0.000 0.000
5 P 0.500 0.500 0.500

Results
Raw total energy = -1.52 eV per atom
ΔE to the lowest computed polymorph = 0.503 eV/atom
Spin magnetization = 0.19 μB/f.u.
Energy of formation from the pure elements = 330.1 meV per atom

***

(10)
The following is a PBE-GGA calculation of a geometry-optimized LiHfRuO6 structure, from the Alexandria database.

Unit cell a=4.794 b=4.794 c=9.207 alpha=90.00 beta=90.00 gamma=90.00
Fractional coordinates of all 18 atoms:
1 Li 0.000 0.000 0.000
2 Li 0.500 0.500 0.500
3 Hf 0.000 0.000 0.662
4 Hf 0.500 0.500 0.162
5 Ru 0.000 0.000 0.328
6 Ru 0.500 0.500 0.828
7 O 0.189 0.189 0.482
8 O 0.199 0.199 0.181
9 O 0.221 0.221 0.819
10 O 0.279 0.721 0.319
11 O 0.301 0.699 0.681
12 O 0.311 0.689 0.982
13 O 0.689 0.311 0.982
14 O 0.699 0.301 0.681
15 O 0.721 0.279 0.319
16 O 0.779 0.779 0.819
17 O 0.801 0.801 0.181
18 O 0.811 0.811 0.482

Results
Raw total energy = -7.40 eV per atom
Spin magnetization = 0.98 μB/f.u.
Raw formation energy = -1.742 eV per atom

***

(11)
The following is a PBE-GGA calculation of a geometry-optimized ZnTc2Cl structure, from the Alexandria database.

Unit cell a=4.649 b=4.649 c=4.903 alpha=101.06 beta=101.06 gamma=35.18
Fractional coordinates of all 4 atoms:
1 Zn 0.000 0.000 0.000
2 Tc 0.256 0.256 0.751
3 Tc 0.744 0.744 0.249
4 Cl 0.500 0.500 0.500

Results
Raw total energy = -5.39 eV per atom
ΔE to the lowest computed polymorph = 0.616 eV/atom
Spin magnetization = 0.00 μB/f.u.
Raw formation energy = 0.573 eV per atom

***

(12)
The following is a PBE-GGA calculation of a geometry-optimized PmEr2Tm5 structure, from the Alexandria database.

Unit cell a=8.531 b=8.531 c=11.322 alpha=90.13 beta=90.13 gamma=38.11
Fractional coordinates of all 16 atoms:
1 Pm 0.227 0.227 0.250
2 Pm 0.773 0.773 0.750
3 Er 0.213 0.213 0.580
4 Er 0.213 0.213 0.919
5 Er 0.787 0.787 0.081
6 Er 0.787 0.787 0.420
7 Tm 0.043 0.043 0.387
8 Tm 0.045 0.045 0.111
9 Tm 0.396 0.396 0.750
10 Tm 0.413 0.413 0.079
11 Tm 0.413 0.413 0.423
12 Tm 0.587 0.587 0.577
13 Tm 0.587 0.587 0.921
14 Tm 0.604 0.604 0.250
15 Tm 0.955 0.955 0.889
16 Tm 0.957 0.957 0.613

Results
Raw total energy = -4.38 eV per atom
Spin magnetization = 0.00 μB/f.u.
Energy of formation from the pure elements = 150.1 meV per atom

***

(13)
The following is a PBE-GGA calculation of a geometry-optimized Ho2CdSnAu4 structure, from the Alexandria database.

Unit cell a=8.574 b=8.574 c=8.574 alpha=33.41 beta=33.41 gamma=33.41
Fractional coordinates of all 8 atoms:
1 Ho 0.249 0.249 0.249
2 Ho 0.751 0.751 0.751
3 Cd 0.000 0.000 0.000
4 Sn 0.500 0.500 0.500
5 Au 0.122 0.122 0.122
6 Au 0.372 0.372 0.372
7 Au 0.628 0.628 0.628
8 Au 0.878 0.878 0.878

Results
Raw total energy = -4.08 eV per atom
Spin magnetization = 0.00 μB/f.u.
Energy of formation from the pure elements = -680.1 meV per atom

***

(14)
The following is a PBE-GGA calculation of a geometry-optimized YEr3Ru structure, from the Alexandria database.

Unit cell a=7.570 b=6.343 c=6.157 alpha=90.00 beta=90.00 gamma=90.00
Fractional coordinates of all 10 atoms:
1 Y 0.000 0.154 0.000
2 Y 0.500 0.846 0.500
3 Er 0.000 0.843 0.491
4 Er 0.249 0.322 0.496
5 Er 0.251 0.678 0.996
6 Er 0.500 0.157 0.991
7 Er 0.749 0.678 0.996
8 Er 0.751 0.322 0.496
9 Ru 0.000 0.503 0.745
10 Ru 0.500 0.497 0.245

Results
Raw total energy = -6.04 eV per atom
ΔE to the lowest computed polymorph = 0.000 eV/atom
Spin magnetization = 0.00 μB/f.u.
Energy of formation from the pure elements = -152.8 meV per atom

***

(15)
The following is a PBE-GGA calculation of a geometry-optimized ScTaNb2Hg structure, from the Alexandria database.

Unit cell a=4.878 b=4.878 c=5.211 alpha=90.00 beta=90.00 gamma=90.00
Fractional coordinates of all 5 atoms:
1 Sc 0.000 0.000 0.000
2 Ta 0.000 0.000 0.500
3 Nb 0.000 0.500 0.500
4 Nb 0.500 0.000 0.500
5 Hg 0.500 0.500 0.000

Results
Raw total energy = -6.59 eV per atom
Spin magnetization = 0.00 μB/f.u.
Energy of formation from the pure elements = 1135.9 meV per atom

***

(16)
The following is a PBE-GGA calculation of a geometry-optimized BaNdCd2 structure, from the Alexandria database.

Unit cell a=5.719 b=5.719 c=5.719 alpha=60.00 beta=60.00 gamma=60.00
Fractional coordinates of all 4 atoms:
1 Ba 0.000 0.000 0.000
2 Nd 0.500 0.500 0.500
3 Cd 0.250 0.250 0.250
4 Cd 0.750 0.750 0.750

Results
Raw total energy = -2.36 eV per atom
ΔE to the lowest computed polymorph = 0.069 eV/atom
Spin magnetization = 0.00 μB/f.u.
Energy of formation from the pure elements = -231.3 meV per atom

***

(17)
The following is a PBE-GGA calculation of a geometry-optimized Tl2Cd structure, from the Alexandria database.

Unit cell a=6.164 b=6.164 c=8.850 alpha=110.69 beta=110.69 gamma=33.09
Fractional coordinates of all 6 atoms:
1 Tl 0.006 0.006 0.213
2 Tl 0.343 0.343 0.421
3 Tl 0.657 0.657 0.579
4 Tl 0.994 0.994 0.787
5 Cd 0.307 0.307 0.906
6 Cd 0.693 0.693 0.094

Results
Raw total energy = -1.85 eV per atom
ΔE to the lowest computed polymorph = 0.000 eV/atom
Spin magnetization = 0.00 μB/f.u.
Energy of formation from the pure elements = 30.9 meV per atom

***

(18)
The following is a PBE-GGA calculation of a geometry-optimized Tm2Al5Pd3 structure, from the Alexandria database.

Unit cell a=12.702 b=12.702 c=6.669 alpha=90.00 beta=90.00 gamma=160.43
Fractional coordinates of all 20 atoms:
1 Tm 0.018 0.982 0.500
2 Tm 0.325 0.675 0.536
3 Tm 0.675 0.325 0.036
4 Tm 0.982 0.018 0.000
5 Al 0.102 0.898 0.848
6 Al 0.207 0.793 0.346
7 Al 0.211 0.789 0.750
8 Al 0.374 0.626 0.010
9 Al 0.446 0.554 0.678
10 Al 0.554 0.446 0.178
11 Al 0.626 0.374 0.510
12 Al 0.789 0.211 0.250
13 Al 0.793 0.207 0.846
14 Al 0.898 0.102 0.348
15 Pd 0.108 0.892 0.244
16 Pd 0.273 0.727 0.051
17 Pd 0.450 0.550 0.283
18 Pd 0.550 0.450 0.783
19 Pd 0.727 0.273 0.551
20 Pd 0.892 0.108 0.744

Results
Raw total energy = -5.11 eV per atom
Spin magnetization = 0.00 μB/f.u.
Energy of formation from the pure elements = -787.7 meV per atom

***

(19)
The following is a PBE-GGA calculation of a geometry-optimized Pr3Tl3Cd structure, from the Alexandria database.

Unit cell a=6.418 b=6.418 c=15.623 alpha=107.42 beta=107.42 gamma=44.39
Fractional coordinates of all 14 atoms:
1 Pr 0.033 0.033 0.382
2 Pr 0.099 0.099 0.921
3 Pr 0.234 0.234 0.221
4 Pr 0.766 0.766 0.779
5 Pr 0.901 0.901 0.079
6 Pr 0.967 0.967 0.618
7 Tl 0.366 0.366 0.453
8 Tl 0.377 0.377 0.927
9 Tl 0.486 0.486 0.769
10 Tl 0.514 0.514 0.231
11 Tl 0.623 0.623 0.073
12 Tl 0.634 0.634 0.547
13 Cd 0.263 0.263 0.614
14 Cd 0.737 0.737 0.386

Results
Raw total energy = -3.53 eV per atom
Spin magnetization = 0.00 μB/f.u.
Energy of formation from the pure elements = -335.0 meV per atom

***

(20)
The following is a PBE-GGA calculation of a geometry-optimized Rb2PdSF6 structure, from the Alexandria database.

Unit cell a=6.559 b=6.559 c=6.559 alpha=125.63 beta=125.63 gamma=80.49
Fractional coordinates of all 10 atoms:
1 Rb 0.250 0.750 0.500
2 Rb 0.750 0.250 0.500
3 Pd 0.000 0.000 0.000
4 S 0.500 0.500 0.000
5 F 0.200 0.200 0.000
6 F 0.273 0.273 0.546
7 F 0.273 0.727 0.000
8 F 0.727 0.273 0.000
9 F 0.727 0.727 0.454
10 F 0.800 0.800 0.000

Results
Raw total energy = -3.99 eV per atom
Spin magnetization = 0.00 μB/f.u.
Raw formation energy = -1.740 eV per atom